Density functional theory data (PBE) for a relaxed structure of BaCoMo.

abc: 3.336 3.336 12.224
angles: 90.00 90.00 90.00
Atoms (fractional coordinates):
Ba (0.000, 0.000, 0.000)
Ba (0.500, 0.500, 0.500)
Co (0.000, 0.000, 0.283)
Co (0.500, 0.500, 0.783)
Mo (0.000, 0.000, 0.732)
Mo (0.500, 0.500, 0.232)

Output
The formation energy comes out at 16.09 kcal/mol of atoms. As for the space group: No. 107. The calculated volume comes out at 22.67 A^3/atom.